# 1
Density functional theory data (PBE) for a geometry-optimized LaPm3Tm4 structure.

Geometry as extended XYZ:
```
8
Lattice="-2.274 -0.918 2.628 -3.697 -2.760 -4.164 6.978 -9.003 2.893" Properties=species:S:1:pos:R:3 pbc="T T T"
Pm 3.489 -4.501 1.446
Pm 0.503 -6.340 0.679
Pm -1.849 -1.380 -2.082
Tm 2.450 -8.803 -0.955
Tm 3.163 -7.890 2.440
Tm -1.444 -3.878 2.312
Tm -2.156 -4.791 -1.083
La -1.137 -0.459 1.314
```

Summary:
- distance to the lowest polymorph of the same formula (eV/atom) = 0.000

***

# 2
Density functional theory data (PBE) for a geometry-optimized La3Pm4Tm3 structure.

Geometry as extended XYZ:
```
10
Lattice="-2.042 -3.131 0.725 6.058 -5.166 -5.252 5.331 -1.689 7.726" Properties=species:S:1:pos:R:3 pbc="T T T"
La 3.101 -2.631 -2.632
La 8.653 -5.974 -1.425
La 4.434 -3.847 5.876
Pm 5.787 -3.870 -0.412
Pm 5.605 -2.998 2.841
Pm 9.919 -5.958 2.211
Pm 1.463 -0.868 0.374
Tm 4.912 -6.136 -2.668
Tm 2.746 -3.837 1.163
Tm 6.602 -6.158 2.001
```

***

# 3
Density functional theory data (PBE) for a geometry-optimized LaPm4Tm15 structure.

Geometry as extended XYZ:
```
20
Lattice="5.005 0.000 0.000 0.000 5.005 0.000 0.000 0.000 24.907" Properties=species:S:1:pos:R:3 pbc="T T T"
La 0.000 0.000 0.000
Pm 0.000 0.000 4.990
Pm 0.000 0.000 9.969
Pm 0.000 0.000 14.937
Pm 0.000 0.000 19.917
Tm 2.502 2.502 0.000
Tm 2.502 2.502 5.005
Tm 2.502 2.502 9.967
Tm 2.502 2.502 14.940
Tm 2.502 2.502 19.901
Tm 2.502 0.000 2.530
Tm 2.502 0.000 7.484
Tm 2.502 0.000 12.453
Tm 2.502 0.000 17.423
Tm 2.502 0.000 22.376
Tm 0.000 2.502 2.530
Tm 0.000 2.502 7.484
Tm 0.000 2.502 12.453
Tm 0.000 2.502 17.423
Tm 0.000 2.502 22.376
```

***

# 4
Density functional theory data (PBE) for a geometry-optimized La5Pm5Tm2 structure.

Geometry as extended XYZ:
```
12
Lattice="5.068 0.000 1.143 2.689 10.584 -0.116 0.843 -1.425 8.067" Properties=species:S:1:pos:R:3 pbc="T T T"
La 4.403 2.099 4.091
La 6.363 1.619 7.206
La 2.237 7.540 1.889
La 4.197 7.060 5.004
La 0.000 0.000 0.000
Pm 1.766 4.580 3.976
Pm 6.169 6.574 8.068
Pm 1.967 -0.472 3.083
Pm 6.632 9.631 6.012
Pm 2.431 2.585 1.027
Tm 3.731 4.102 7.070
Tm 4.869 5.057 2.024
```

***

no.,formation energy from the elements (kJ/mol of formula units),N(E_F) (states/eV per cell)
1,15.4,9.897
2,78.2,12.656
3,55.6,29.141
4,26.5,20.343